(1)
A plane-wave DFT calculation with PBE was carried out for a geometry-optimized Er3InPd12 structure.

Calculated values
Its energy of formation from the pure elements is -785.0 meV per atom.

Unit cell a=4.0957 b=4.0957 c=16.2953 alpha=90.00 beta=90.00 gamma=90.00
With the nearest neighbours (Å) after each atom.
Fractional coordinates of all 16 atoms:
Pd1 0.0000 0.5000 0.6261  8 Pd 2.90, 4 Er 2.90-2.91
Pd2 0.5000 0.0000 0.1215  2 In 2.85, 8 Pd 2.85-2.90, 2 Er 2.90
Pd3 0.5000 0.5000 0.2477  4 Er 2.90, 8 Pd 2.90
Pd4 0.0000 0.5000 0.8785  2 In 2.85, 8 Pd 2.85-2.90, 2 Er 2.90
Pd5 0.5000 0.5000 0.0000  8 Pd 2.85, 4 In 2.90
Pd6 0.0000 0.5000 0.1215  2 In 2.85, 8 Pd 2.85-2.90, 2 Er 2.90
Pd7 0.5000 0.5000 0.5000  4 Er 2.90, 8 Pd 2.90
Pd8 0.5000 0.0000 0.3739  8 Pd 2.90, 4 Er 2.90-2.91
Pd9 0.5000 0.0000 0.6261  8 Pd 2.90, 4 Er 2.90-2.91
Pd10 0.5000 0.5000 0.7523  4 Er 2.90, 8 Pd 2.90
Pd11 0.5000 0.0000 0.8785  2 In 2.85, 8 Pd 2.85-2.90, 2 Er 2.90
Pd12 0.0000 0.5000 0.3739  8 Pd 2.90, 4 Er 2.90-2.91
Er1 0.0000 0.0000 0.7529  12 Pd 2.90-2.91
Er2 0.0000 0.0000 0.2471  12 Pd 2.90-2.91
Er3 0.0000 0.0000 0.5000  12 Pd 2.90
In1 0.0000 0.0000 0.0000  12 Pd 2.85-2.90

***

(2)
A plane-wave DFT calculation with PBE was carried out for a geometry-optimized Cs4Ac3DyS8 structure.

Calculated values
The formation energy without anion corrections comes out at -1.85 eV/atom.

Unit cell a=8.7925 b=9.5740 c=8.7920 alpha=117.35 beta=120.00 gamma=90.00
With the nearest neighbours (Å) after each atom.
Fractional coordinates of all 16 atoms:
Cs1 0.5000 0.0000 0.5000  6 S 3.55
Cs2 0.0000 0.0000 0.5000  6 S 3.55
Cs3 0.5000 0.0000 0.0000  6 S 3.69
Cs4 0.0000 0.0000 0.0000  6 S 3.55
S1 0.7315 0.6945 0.4631  3 Ac 2.99
S2 0.7797 0.3132 0.5594  1 Dy 2.84, 2 Ac 3.02
S3 0.7797 0.3132 0.0334  1 Dy 2.84, 2 Ac 3.02
S4 0.7464 0.6868 0.9666  1 Dy 2.84, 2 Ac 3.02
S5 0.2536 0.3132 0.0334  1 Dy 2.84, 2 Ac 3.02
S6 0.2203 0.6868 0.9666  1 Dy 2.84, 2 Ac 3.02
S7 0.2203 0.6868 0.4406  1 Dy 2.84, 2 Ac 3.02
S8 0.2685 0.3055 0.5369  3 Ac 2.99
Ac1 0.5000 0.5000 0.0000  6 S 2.99-3.02
Ac2 0.0000 0.5000 0.5000  6 S 2.99-3.02
Ac3 0.5000 0.5000 0.5000  6 S 2.99-3.02
Dy1 0.0000 0.5000 0.0000  6 S 2.84

***

(3)
A plane-wave DFT calculation with PBE was carried out for a geometry-optimized Th4InGa2 structure.

Calculated values
Its energy of formation from the pure elements is -107.9 meV per atom.

Unit cell a=4.8388 b=4.8388 c=10.7990 alpha=77.05 beta=77.05 gamma=60.00
With the nearest neighbours (Å) after each atom.
Fractional coordinates of all 7 atoms:
Th1 0.3013 0.3013 0.0961  4 Ga 3.04-3.19
Th2 0.6987 0.6987 0.9039  4 Ga 3.04-3.19
Th3 0.1137 0.1137 0.6589  3 Ga 3.11, 3 In 3.25
Th4 0.8863 0.8863 0.3411  3 Ga 3.11, 3 In 3.25
In1 0.5000 0.5000 0.5000  2 Ga 3.03, 6 Th 3.25
Ga1 0.5967 0.5967 0.2100  1 In 3.03, 7 Th 3.04-3.19
Ga2 0.4033 0.4033 0.7900  1 In 3.03, 7 Th 3.04-3.19

***

(4)
A plane-wave DFT calculation with PBE was carried out for a geometry-optimized Nd6SmY2Ho structure.

Calculated values
Its energy of formation from the pure elements is 116.8 meV per atom.

Unit cell a=9.6129 b=8.9906 c=8.9906 alpha=116.83 beta=93.28 gamma=93.28
With the nearest neighbours (Å) after each atom.
Fractional coordinates of all 20 atoms:
Nd1 0.8132 0.4392 0.9934  2 Nd 3.28-3.67, 1 Ho 3.48, 1 Y 3.51, 1 Sm 3.57
Nd2 0.1162 0.7066 0.4812  4 Nd 3.28-3.64, 3 Y 3.35-3.53, 2 Ho 3.50-3.55
Nd3 0.3838 0.5188 0.2934  4 Nd 3.28-3.64, 3 Y 3.35-3.53, 2 Ho 3.50-3.55
Nd4 0.0572 0.1145 0.7626  7 Nd 3.49-3.77, 1 Y 3.55, 2 Sm 3.70-3.78
Nd5 0.8838 0.2934 0.5188  4 Nd 3.28-3.64, 3 Y 3.35-3.53, 2 Ho 3.50-3.55
Nd6 0.6868 0.0066 0.5608  2 Nd 3.28-3.67, 1 Ho 3.48, 1 Y 3.51, 1 Sm 3.57
Nd7 0.9428 0.8855 0.2374  7 Nd 3.49-3.77, 1 Y 3.55, 2 Sm 3.70-3.78
Nd8 0.3132 0.9934 0.4392  2 Nd 3.28-3.67, 1 Ho 3.48, 1 Y 3.51, 1 Sm 3.57
Nd9 0.6162 0.4812 0.7066  4 Nd 3.28-3.64, 3 Y 3.35-3.53, 2 Ho 3.50-3.55
Nd10 0.4428 0.2374 0.8855  7 Nd 3.49-3.77, 1 Y 3.55, 2 Sm 3.70-3.78
Nd11 0.1868 0.5608 0.0066  2 Nd 3.28-3.67, 1 Ho 3.48, 1 Y 3.51, 1 Sm 3.57
Nd12 0.5572 0.7626 0.1145  7 Nd 3.49-3.77, 1 Y 3.55, 2 Sm 3.70-3.78
Sm1 0.7500 0.0323 0.9677  4 Y 3.43-3.53, 6 Nd 3.57-3.78
Sm2 0.2500 0.9677 0.0323  4 Y 3.43-3.53, 6 Nd 3.57-3.78
Ho1 0.7500 0.5889 0.4111  6 Nd 3.48-3.55, 2 Y 3.55
Ho2 0.2500 0.4111 0.5889  6 Nd 3.48-3.55, 2 Y 3.55
Y1 0.5495 0.2036 0.2982  5 Nd 3.35-3.55, 2 Sm 3.43-3.53, 1 Ho 3.55
Y2 0.4505 0.7964 0.7018  5 Nd 3.35-3.55, 2 Sm 3.43-3.53, 1 Ho 3.55
Y3 0.9505 0.7018 0.7964  5 Nd 3.35-3.55, 2 Sm 3.43-3.53, 1 Ho 3.55
Y4 0.0495 0.2982 0.2036  5 Nd 3.35-3.55, 2 Sm 3.43-3.53, 1 Ho 3.55

***

(5)
A plane-wave DFT calculation with PBE was carried out for a geometry-optimized Ta2CoRu structure.

Calculated values
Its energy of formation from the pure elements is 79.5 meV per atom.

Unit cell a=8.0519 b=8.0519 c=8.0519 alpha=21.80 beta=21.80 gamma=21.80
With the nearest neighbours (Å) after each atom.
Fractional coordinates of all 4 atoms:
Ru1 0.7500 0.7500 0.7500  6 Ta 2.71
Ta1 0.9957 0.9957 0.9957  3 Co 2.56, 3 Ru 2.71
Ta2 0.5043 0.5043 0.5043  3 Co 2.56, 3 Ru 2.71
Co1 0.2500 0.2500 0.2500  6 Ta 2.56

***

(6)
A plane-wave DFT calculation with PBE was carried out for a geometry-optimized RbCaHgO2 structure.

Calculated values
The formation energy without anion corrections comes out at -1.35 eV/atom.

Unit cell a=6.3196 b=6.7752 c=6.5094 alpha=89.24 beta=90.00 gamma=90.00
With the nearest neighbours (Å) after each atom.
Fractional coordinates of all 10 atoms:
Ca1 0.4852 0.0000 0.2500  4 O 2.27-2.28
Ca2 0.5148 0.0000 0.7500  4 O 2.27-2.28
Hg1 0.0000 0.0000 0.5000  2 O 2.33
Hg2 0.0000 0.0000 0.0000  2 O 2.33
O1 0.3227 0.8348 0.5118  2 Ca 2.27-2.28, 1 Hg 2.33
O2 0.6773 0.1652 0.4882  2 Ca 2.27-2.28, 1 Hg 2.33
O3 0.3227 0.1652 0.9882  2 Ca 2.27-2.28, 1 Hg 2.33
O4 0.6773 0.8348 0.0118  2 Ca 2.27-2.28, 1 Hg 2.33
Rb1 0.7560 0.5000 0.2500  2 O 2.78
Rb2 0.2440 0.5000 0.7500  2 O 2.78

***

(7)
A plane-wave DFT calculation with PBE was carried out for a geometry-optimized TaTl2Zn structure.

Calculated values
Its relative energy among the computed polymorphs is 1.724 eV per formula unit. Its energy of formation from the pure elements is 782.8 meV per atom.

Unit cell a=7.6751 b=7.6751 c=6.1904 alpha=51.69 beta=51.69 gamma=90.00
With the nearest neighbours (Å) after each atom.
Fractional coordinates of all 8 atoms:
Tl1 0.3750 0.3965 0.7500  2 Zn 2.70, 2 Ta 2.93, 2 Tl 3.00
Tl2 0.8750 0.8535 0.7500  2 Zn 2.70, 2 Ta 2.93, 2 Tl 3.00
Tl3 0.1465 0.6250 0.2500  2 Zn 2.70, 2 Ta 2.93, 2 Tl 3.00
Tl4 0.6035 0.1250 0.2500  2 Zn 2.70, 2 Ta 2.93, 2 Tl 3.00
Zn1 0.5000 0.5000 0.0000  4 Tl 2.70, 2 Ta 2.98
Zn2 0.2500 0.7500 0.5000  4 Tl 2.70, 2 Ta 2.98
Ta1 0.7500 0.2500 0.5000  4 Tl 2.93, 2 Zn 2.98
Ta2 0.0000 0.0000 0.0000  4 Tl 2.93, 2 Zn 2.98

***

(8)
A plane-wave DFT calculation with PBE was carried out for a geometry-optimized AlSnHgIr2 structure.

Calculated values
Its energy of formation from the pure elements is 1403.5 meV per atom.

Unit cell a=4.9348 b=5.3174 c=4.9348 alpha=90.00 beta=90.00 gamma=90.00
With the nearest neighbours (Å) after each atom.
Fractional coordinates of all 5 atoms:
Sn1 0.0000 0.0000 0.0000  4 Ir 2.47, 2 Hg 2.66
Hg1 0.0000 0.5000 0.0000  2 Sn 2.66
Al1 0.5000 0.5000 0.5000  4 Hg 3.49, 8 Ir 3.63
Ir1 0.0000 0.0000 0.5000  2 Sn 2.47
Ir2 0.5000 0.0000 0.0000  2 Sn 2.47

***

(9)
A plane-wave DFT calculation with PBE was carried out for a geometry-optimized BPdCl2 structure.

Calculated values
Its relative energy among the computed polymorphs is 0.777 eV per formula unit. The formation energy without anion corrections comes out at 0.73 eV/atom.

Unit cell a=7.7466 b=7.7466 c=7.7466 alpha=24.05 beta=24.05 gamma=24.05
With the nearest neighbours (Å) after each atom.
Fractional coordinates of all 4 atoms:
Pd1 0.0000 0.0000 0.0000  2 Cl 2.36
B1 0.5000 0.5000 0.5000  6 Cl 2.33
Cl1 0.8955 0.8955 0.8955  3 B 2.33, 1 Pd 2.36
Cl2 0.1045 0.1045 0.1045  3 B 2.33, 1 Pd 2.36

***

(10)
A plane-wave DFT calculation with PBE was carried out for a geometry-optimized Pr2Ga7Pd12 structure.

Calculated values
Its energy of formation from the pure elements is -721.7 meV per atom.

Unit cell a=4.0638 b=10.1350 c=10.1350 alpha=120.00 beta=90.00 gamma=90.00
With the nearest neighbours (Å) after each atom.
Fractional coordinates of all 21 atoms:
Pd1 0.0000 0.7934 0.7274  4 Ga 2.52-2.58
Pd2 0.0000 0.9339 0.2066  4 Ga 2.52-2.58
Pd3 0.0000 0.2726 0.0661  4 Ga 2.52-2.58
Pd4 0.5000 0.5404 0.7599  5 Ga 2.57-2.73
Pd5 0.5000 0.3929 0.2981  4 Ga 2.54-2.69, 2 Pd 2.84
Pd6 0.5000 0.7019 0.0948  4 Ga 2.54-2.69, 2 Pd 2.84
Pd7 0.5000 0.2196 0.4596  5 Ga 2.57-2.73
Pd8 0.0000 0.4794 0.9486  4 Ga 2.48-2.54
Pd9 0.0000 0.4692 0.5206  4 Ga 2.48-2.54
Pd10 0.5000 0.2401 0.7804  5 Ga 2.57-2.73
Pd11 0.0000 0.0514 0.5308  4 Ga 2.48-2.54
Pd12 0.5000 0.9052 0.6071  4 Ga 2.54-2.69, 2 Pd 2.84
Ga1 0.5000 0.6378 0.5699  7 Pd 2.54-2.63
Ga2 0.0000 0.2118 0.2833  7 Pd 2.51-2.69
Ga3 0.0000 0.0715 0.7882  7 Pd 2.51-2.69
Ga4 0.5000 0.9321 0.3622  7 Pd 2.54-2.63
Ga5 0.0000 0.3333 0.6667  9 Pd 2.48-2.73
Ga6 0.0000 0.7167 0.9285  7 Pd 2.51-2.69
Ga7 0.5000 0.4301 0.0679  7 Pd 2.54-2.63
Pr1 0.0000 0.6667 0.3333  6 Ga 3.27, 12 Pd 3.31-3.53
Pr2 0.5000 0.0000 0.0000  9 Pd 3.22-3.60, 6 Ga 3.29

***

no.,DOS at the Fermi energy (states/eV/f.u.),calculated density (g cm⁻³)
1,12.83,11.50
2,0.00,4.99
3,4.93,9.28
4,14.86,6.55
5,2.94,13.74
6,2.29,4.27
7,4.20,12.40
8,5.27,9.37
9,4.34,4.61
10,10.91,9.40